# PBE-GGA PuI2Br6, optimized geometry
# spin magnetization	4.04	μB/f.u.
# electronic total energy	-33.856	eV per formula unit
# uncorrected formation energy	-616	kJ/mol of formula units
data_PuI2Br6
_chemical_formula_sum 'Pu4 I8 Br24'
_cell_length_a 15.4525
_cell_length_b 13.8723
_cell_length_c 8.0132
_cell_angle_alpha 90.00
_cell_angle_beta 95.84
_cell_angle_gamma 90.00
_space_group_name_H-M_alt 'C 1 2/c 1'
_space_group_IT_number 15
loop_
_space_group_symop_operation_xyz
'x,y,z'
'-x,-y,-z'
'-x,y,-z+1/2'
'x,-y,z+1/2'
'x+1/2,y+1/2,z'
'-x+1/2,-y+1/2,-z'
'-x+1/2,y+1/2,-z+1/2'
'x+1/2,-y+1/2,z+1/2'
loop_
_atom_site_label
_atom_site_type_symbol
_atom_site_fract_x
_atom_site_fract_y
_atom_site_fract_z
Pu1 Pu 0.0000 0.0713 0.2500
I1 I 0.1369 0.4999 0.1645
Br1 Br 0.0940 0.0705 0.9565
Br2 Br 0.1107 0.2045 0.3807
Br3 Br 0.1371 0.3678 0.9141